Compound: SmErGa2Pt5
Source: Alexandria via LeMat-Bulk
Functional: GGA-PBE
Structure: optimized geometry

Cell lengths 4.1958, 4.1958, 9.3535 Å; angles 90.00, 90.00, 90.00 degrees
Positions (direct):
Pt 0.0000 0.5000 0.2713
Pt 0.5000 0.5000 0.5000
Pt 0.0000 0.5000 0.7287
Pt 0.5000 0.0000 0.2713
Pt 0.5000 0.0000 0.7287
Ga 0.5000 0.5000 0.1296
Ga 0.5000 0.5000 0.8704
Er 0.0000 0.0000 0.0000
Sm 0.0000 0.0000 0.5000

## Properties
Total magnetization in μB/cell: 0.00
Space-group type: P4/mmm (123)
E_tot in eV per atom: -5.98
Energy of formation in eV/atom: -0.919